Below is a relaxed NaU2S4 crystal, with properties calculated at the PBE level.

Calculated values
The crystal system is monoclinic.

Cell: 6.8233 3.9591 7.1366 Å, 90.00 90.95 90.00°
Closest atoms and distances in Å follow each position.
Space group P2/m (No. 10)
Asymmetric unit:
Na (0.0000, 0.0000, 0.0000) (multiplicity 1)  6 S 3.02-3.12
U (0.0000, 0.0000, 0.5000) (multiplicity 1)  6 S 2.69-2.74
U (0.5000, 0.5000, 0.5000) (multiplicity 1)  6 S 2.73-2.77
S (0.1581, 0.5000, 0.2849) (multiplicity 2)  3 U 2.74-2.77, 2 Na 3.02
S (0.3333, 0.0000, 0.7062) (multiplicity 2)  3 U 2.69-2.73

---

Below is a relaxed Na3US4 crystal, with properties calculated at the PBE level.

Calculated values
The crystal system is monoclinic. The polymorph energy (0 for the lowest one) is 0 meV/atom.

Cell: 7.0298 8.1178 6.9412 Å, 90.00 110.08 90.00°
Closest atoms and distances in Å follow each position.
Space group P2/c (No. 13)
Asymmetric unit:
Na (0.0000, 0.1099, 0.2500) (multiplicity 2)  4 S 2.81-3.01
Na (0.0000, 0.3706, 0.7500) (multiplicity 2)  6 S 2.81-3.08
Na (0.5000, 0.1190, 0.7500) (multiplicity 2)  6 S 2.85-2.95
U (0.5000, 0.3653, 0.2500) (multiplicity 2)  6 S 2.56-2.71
S (0.2625, 0.1483, 0.0257) (multiplicity 4)  1 U 2.56, 3 Na 2.81-2.85
S (0.2845, 0.3948, 0.4985) (multiplicity 4)  2 U 2.67-2.71, 2 Na 2.87-2.92

---

Below is a relaxed Na5U3S12 crystal, with properties calculated at the PBE level.

Calculated values
The crystal system is cubic.

Cell: 15.5331 15.5331 15.5331 Å, 90.00 90.00 90.00°
Closest atoms and distances in Å follow each position.
Space group Ia-3d (No. 230)
Asymmetric unit:
Na (0.0000, 0.0000, 0.0000) (multiplicity 16)  6 S 2.74
Na (0.0000, 0.2500, 0.3750) (multiplicity 24)  4 S 2.59
U (0.0000, 0.2500, 0.1250) (multiplicity 24)  8 S 2.66-2.92
S (0.0152, 0.0821, 0.6554) (multiplicity 96)  2 Na 2.59-2.74, 1 U 2.66, 1 S 2.76

---

Below is a relaxed NaU3S6 crystal, with properties calculated at the PBE level.

Calculated values
The crystal system is monoclinic.

Cell: 10.9932 4.0447 11.4791 Å, 90.00 107.93 90.00°
Closest atoms and distances in Å follow each position.
Space group P2_1/m (No. 11)
Asymmetric unit:
Na (0.0819, 0.2500, 0.1771) (multiplicity 2)  7 S 2.98-3.32
U (0.1605, 0.2500, 0.5702) (multiplicity 2)  6 S 2.67-2.73
U (0.3086, 0.7500, 0.9869) (multiplicity 2)  7 S 2.70-2.93
U (0.4896, 0.2500, 0.3304) (multiplicity 2)  7 S 2.70-2.93
S (0.0758, 0.7500, 0.4050) (multiplicity 2)  3 U 2.70-2.73
S (0.1363, 0.2500, 0.9387) (multiplicity 2)  2 U 2.71, 1 Na 2.98
S (0.2658, 0.7500, 0.7223) (multiplicity 2)  4 U 2.69-2.93
S (0.3143, 0.7500, 0.2327) (multiplicity 2)  3 U 2.78-2.80
S (0.3811, 0.2500, 0.5175) (multiplicity 2)  4 U 2.67-2.76
S (0.4680, 0.2500, 0.0894) (multiplicity 2)  4 U 2.70-2.85

---

| no. | DFT total energy (eV/atom) | spin magnetization (μB/f.u.) | formation energy (no corrections) (eV per atom) |
| --- | --- | --- | --- |
| 1 | -7.1249 | 5.000 | -1.35 |
| 2 | -5.2859 | 1.000 | -1.32 |
| 3 | -5.3209 | 0.615 | -0.82 |
| 4 | -7.3530 | 2.666 | -1.36 |